VASP calculation (GGA-PBE) on an optimized crystal structure of Sm2HoSi3Pt12.

Cell and atoms, written as POSCAR:
```
Sm2HoSi3Pt12
1.0
-5.6014 -3.1942 -4.1507
2.2196 -2.4337 -6.9252
0.5171 -7.6250 -0.6325
Pt Si Sm Ho
12 3 2 1
Cartesian
-2.1432 -4.4228 -7.2539
0.2119 -5.9840 -7.9046
0.5861 -3.0484 -4.8583
-4.0761 -6.4009 -6.3834
-2.6788 -7.8506 -9.7034
-0.1859 -5.4023 -2.0050
1.2114 -6.8520 -5.3250
-3.0766 -7.2690 -3.8038
0.0956 -9.8597 -8.1081
-3.4508 -10.2046 -6.8501
-2.9603 -3.3932 -3.6003
-0.7216 -8.8301 -4.4545
0.2585 -3.8125 -0.3163
-2.8007 -1.5971 -2.0754
1.1098 -1.2169 -3.4626
-1.1513 -5.3261 -4.7054
-1.7134 -7.9268 -7.0030
0.0000 0.0000 0.0000
```

Output
* energy relative to the elements, uncorrected: -54.3 kJ/mol of atoms
* total magnetic moment: 0.0 μB/f.u.
* calculated density: 13367 kg/m³